# 1
# SCAN Cd2TcOs, PBEsol geometry
# - Energy of formation from the pure elements: 0.591 eV per atom
# - Offset from the most stable computed form: 39 meV per atom
data_Cd2TcOs
_chemical_formula_sum 'Cd2 Tc1 Os1'
_space_group_name_H-M_alt 'P 1'
_space_group_IT_number 1
_space_group_name_Hall 'P 1'
_cell_length_a 2.828
_cell_length_b 4.827
_cell_length_c 4.980
_cell_angle_alpha 108.20
_cell_angle_beta 90.00
_cell_angle_gamma 90.00
loop_
_atom_site_label
_atom_site_type_symbol
_atom_site_fract_x
_atom_site_fract_y
_atom_site_fract_z
Os1 Os 0.500 0.000 0.500
Cd1 Cd 0.500 0.500 0.000
Cd2 Cd 0.000 0.000 0.000
Tc1 Tc 0.000 0.500 0.500


# 2
# SCAN LiZr2Ir, PBEsol geometry
# - Energy of formation from the pure elements: -0.148 eV per atom
# - Offset from the most stable computed form: 478 meV per atom
data_LiZr2Ir
_chemical_formula_sum 'Li2 Zr4 Ir2'
_space_group_name_H-M_alt 'P 1'
_space_group_IT_number 1
_space_group_name_Hall 'P 1'
_cell_length_a 5.695
_cell_length_b 5.965
_cell_length_c 5.965
_cell_angle_alpha 76.83
_cell_angle_beta 61.49
_cell_angle_gamma 61.49
loop_
_atom_site_label
_atom_site_type_symbol
_atom_site_fract_x
_atom_site_fract_y
_atom_site_fract_z
Zr1 Zr 0.657 0.968 0.468
Li1 Li 0.500 0.000 0.000
Li2 Li 0.250 0.500 0.500
Zr2 Zr 0.875 0.468 0.032
Ir1 Ir 0.000 0.000 0.000
Zr3 Zr 0.375 0.532 0.968
Zr4 Zr 0.093 0.032 0.532
Ir2 Ir 0.750 0.500 0.500


# 3
# SCAN MnB4, PBEsol geometry
# - Energy of formation from the pure elements: -0.287 eV per atom
# - Offset from the most stable computed form: 9 meV per atom
data_MnB4
_chemical_formula_sum 'Mn4 B16'
_space_group_name_H-M_alt 'P 1'
_space_group_IT_number 1
_space_group_name_Hall 'P 1'
_cell_length_a 5.332
_cell_length_b 5.380
_cell_length_c 5.418
_cell_angle_alpha 114.57
_cell_angle_beta 90.00
_cell_angle_gamma 90.00
loop_
_atom_site_label
_atom_site_type_symbol
_atom_site_fract_x
_atom_site_fract_y
_atom_site_fract_z
B1 B 0.813 0.365 0.639
B2 B 0.187 0.635 0.361
B3 B 0.819 0.872 0.123
B4 B 0.130 0.837 0.157
B5 B 0.687 0.365 0.139
B6 B 0.870 0.163 0.843
B7 B 0.681 0.872 0.623
B8 B 0.370 0.837 0.657
Mn1 Mn 0.501 0.729 0.222
B9 B 0.313 0.635 0.861
B10 B 0.181 0.128 0.877
B11 B 0.630 0.163 0.343
Mn2 Mn 0.001 0.271 0.278
B12 B 0.130 0.329 0.677
Mn3 Mn 0.999 0.729 0.722
B13 B 0.630 0.671 0.823
Mn4 Mn 0.499 0.271 0.778
B14 B 0.319 0.128 0.377
B15 B 0.870 0.671 0.323
B16 B 0.370 0.329 0.177


# 4
# SCAN BaSr, PBEsol geometry
# - Energy of formation from the pure elements: 0.017 eV per atom
# - Offset from the most stable computed form: 8 meV per atom
data_BaSr
_chemical_formula_sum 'Ba2 Sr2'
_space_group_name_H-M_alt 'P 1'
_space_group_IT_number 1
_space_group_name_Hall 'P 1'
_cell_length_a 6.762
_cell_length_b 6.762
_cell_length_c 6.762
_cell_angle_alpha 60.00
_cell_angle_beta 60.00
_cell_angle_gamma 60.00
loop_
_atom_site_label
_atom_site_type_symbol
_atom_site_fract_x
_atom_site_fract_y
_atom_site_fract_z
Ba1 Ba 0.500 0.500 0.500
Sr1 Sr 0.000 0.000 0.000
Sr2 Sr 0.250 0.250 0.250
Ba2 Ba 0.750 0.750 0.750


# 5
# SCAN Li3Ta, PBEsol geometry
# - Energy of formation from the pure elements: 0.469 eV per atom
# - Offset from the most stable computed form: 0 meV per atom
data_Li3Ta
_chemical_formula_sum 'Li3 Ta1'
_space_group_name_H-M_alt 'P 1'
_space_group_IT_number 1
_space_group_name_Hall 'P 1'
_cell_length_a 2.546
_cell_length_b 4.814
_cell_length_c 5.498
_cell_angle_alpha 90.00
_cell_angle_beta 90.00
_cell_angle_gamma 90.00
loop_
_atom_site_label
_atom_site_type_symbol
_atom_site_fract_x
_atom_site_fract_y
_atom_site_fract_z
Li1 Li 0.500 0.500 0.804
Ta1 Ta 0.000 0.500 0.309
Li2 Li 0.000 0.000 0.031
Li3 Li 0.500 0.000 0.522


# 6
# SCAN HfHRh3, PBEsol geometry
# - Offset from the most stable computed form: 0 meV per atom
data_HfHRh3
_chemical_formula_sum 'Hf1 H1 Rh3'
_space_group_name_H-M_alt 'P 1'
_space_group_IT_number 1
_space_group_name_Hall 'P 1'
_cell_length_a 3.928
_cell_length_b 3.928
_cell_length_c 3.928
_cell_angle_alpha 90.00
_cell_angle_beta 90.00
_cell_angle_gamma 90.00
loop_
_atom_site_label
_atom_site_type_symbol
_atom_site_fract_x
_atom_site_fract_y
_atom_site_fract_z
Rh1 Rh 0.500 0.000 0.000
H1 H 0.000 0.000 0.000
Hf1 Hf 0.500 0.500 0.500
Rh2 Rh 0.000 0.000 0.500
Rh3 Rh 0.000 0.500 0.000


# 7
# SCAN TcPBr2, PBEsol geometry
# - Raw formation energy: 0.1859 eV per atom
# - Offset from the most stable computed form: 278 meV per atom
data_TcPBr2
_chemical_formula_sum 'Tc1 P1 Br2'
_space_group_name_H-M_alt 'P 1'
_space_group_IT_number 1
_space_group_name_Hall 'P 1'
_cell_length_a 3.030
_cell_length_b 3.922
_cell_length_c 7.634
_cell_angle_alpha 104.89
_cell_angle_beta 101.45
_cell_angle_gamma 90.00
loop_
_atom_site_label
_atom_site_type_symbol
_atom_site_fract_x
_atom_site_fract_y
_atom_site_fract_z
Br1 Br 0.350 0.350 0.699
P1 P 0.500 0.000 0.000
Tc1 Tc 0.000 0.500 0.000
Br2 Br 0.650 0.650 0.301


# 8
# SCAN LiCoC2O6, PBEsol geometry
# - Raw formation energy: -1.4639 eV per atom
# - Offset from the most stable computed form: 161 meV per atom
data_LiCoC2O6
_chemical_formula_sum 'Li2 Co2 C4 O12'
_space_group_name_H-M_alt 'P 1'
_space_group_IT_number 1
_space_group_name_Hall 'P 1'
_cell_length_a 5.871
_cell_length_b 6.110
_cell_length_c 7.618
_cell_angle_alpha 85.77
_cell_angle_beta 81.16
_cell_angle_gamma 61.29
loop_
_atom_site_label
_atom_site_type_symbol
_atom_site_fract_x
_atom_site_fract_y
_atom_site_fract_z
O1 O 0.101 0.828 0.768
C1 C 0.752 0.152 0.199
O2 O 0.525 0.242 0.293
Li1 Li 0.450 0.808 0.684
O3 O 0.642 0.603 0.448
O4 O 0.856 0.947 0.545
O5 O 0.929 0.172 0.268
O6 O 0.245 0.397 0.948
C2 C 0.903 0.848 0.699
C3 C 0.361 0.311 0.783
Co1 Co 0.996 0.719 0.991
O7 O 0.533 0.383 0.716
Li2 Li 0.259 0.192 0.184
O8 O 0.768 0.758 0.793
O9 O 0.803 0.053 0.045
O10 O 0.916 0.617 0.216
Co2 Co 0.715 0.281 0.491
C4 C 0.672 0.689 0.283
O11 O 0.479 0.827 0.209
O12 O 0.306 0.173 0.709


# 9
# SCAN BaCaRh3, PBEsol geometry
# - Energy of formation from the pure elements: 1.181 eV per atom
data_BaCaRh3
_chemical_formula_sum 'Ba1 Ca1 Rh3'
_space_group_name_H-M_alt 'P 1'
_space_group_IT_number 1
_space_group_name_Hall 'P 1'
_cell_length_a 5.006
_cell_length_b 5.006
_cell_length_c 5.006
_cell_angle_alpha 90.00
_cell_angle_beta 90.00
_cell_angle_gamma 90.00
loop_
_atom_site_label
_atom_site_type_symbol
_atom_site_fract_x
_atom_site_fract_y
_atom_site_fract_z
Ba1 Ba 0.000 0.000 0.000
Ca1 Ca 0.500 0.500 0.500
Rh1 Rh 0.000 0.500 0.000
Rh2 Rh 0.000 0.000 0.500
Rh3 Rh 0.500 0.000 0.000


# 10
# SCAN La2Al2Ge, PBEsol geometry
# - Energy of formation from the pure elements: -0.729 eV per atom
data_La2Al2Ge
_chemical_formula_sum 'La4 Al4 Ge2'
_space_group_name_H-M_alt 'P 1'
_space_group_IT_number 1
_space_group_name_Hall 'P 1'
_cell_length_a 4.134
_cell_length_b 4.596
_cell_length_c 13.739
_cell_angle_alpha 90.00
_cell_angle_beta 98.65
_cell_angle_gamma 90.00
loop_
_atom_site_label
_atom_site_type_symbol
_atom_site_fract_x
_atom_site_fract_y
_atom_site_fract_z
Ge1 Ge 0.674 0.250 0.348
Al1 Al 0.119 0.250 0.237
La1 La 0.796 0.250 0.593
Ge2 Ge 0.326 0.750 0.652
La2 La 0.425 0.250 0.849
Al2 Al 0.881 0.750 0.763
Al3 Al 0.024 0.250 0.047
Al4 Al 0.976 0.750 0.953
La3 La 0.204 0.750 0.407
La4 La 0.575 0.750 0.151


# 11
# SCAN RbBaNi2Ag, PBEsol geometry
# - Energy of formation from the pure elements: 0.728 eV per atom
data_RbBaNi2Ag
_chemical_formula_sum 'Rb1 Ba1 Ni2 Ag1'
_space_group_name_H-M_alt 'P 1'
_space_group_IT_number 1
_space_group_name_Hall 'P 1'
_cell_length_a 4.997
_cell_length_b 4.997
_cell_length_c 5.621
_cell_angle_alpha 90.00
_cell_angle_beta 90.00
_cell_angle_gamma 90.00
loop_
_atom_site_label
_atom_site_type_symbol
_atom_site_fract_x
_atom_site_fract_y
_atom_site_fract_z
Ni1 Ni 0.000 0.500 0.000
Rb1 Rb 0.500 0.500 0.500
Ag1 Ag 0.000 0.000 0.000
Ba1 Ba 0.000 0.000 0.500
Ni2 Ni 0.500 0.000 0.000


# 12
# SCAN Ge2PbAu2, PBEsol geometry
# - Energy of formation from the pure elements: -0.005 eV per atom
data_Ge2PbAu2
_chemical_formula_sum 'Ge2 Pb1 Au2'
_space_group_name_H-M_alt 'P 1'
_space_group_IT_number 1
_space_group_name_Hall 'P 1'
_cell_length_a 4.139
_cell_length_b 4.139
_cell_length_c 6.729
_cell_angle_alpha 107.91
_cell_angle_beta 107.91
_cell_angle_gamma 90.00
loop_
_atom_site_label
_atom_site_type_symbol
_atom_site_fract_x
_atom_site_fract_y
_atom_site_fract_z
Au1 Au 0.612 0.612 0.224
Ge1 Ge 0.250 0.750 0.500
Ge2 Ge 0.750 0.250 0.500
Pb1 Pb 0.000 0.000 0.000
Au2 Au 0.388 0.388 0.776


# 13
# SCAN Pb12BrCl7O8, PBEsol geometry
# - Raw formation energy: -1.2438 eV per atom
data_Pb12BrCl7O8
_chemical_formula_sum 'Pb12 Br1 Cl7 O8'
_space_group_name_H-M_alt 'P 1'
_space_group_IT_number 1
_space_group_name_Hall 'P 1'
_cell_length_a 5.825
_cell_length_b 9.562
_cell_length_c 11.794
_cell_angle_alpha 90.21
_cell_angle_beta 90.00
_cell_angle_gamma 90.00
loop_
_atom_site_label
_atom_site_type_symbol
_atom_site_fract_x
_atom_site_fract_y
_atom_site_fract_z
O1 O 0.745 0.888 0.919
Cl1 Cl 0.500 0.814 0.193
Pb1 Pb 0.000 0.635 0.281
Pb2 Pb 0.000 0.202 0.560
O2 O 0.745 0.613 0.421
Cl2 Cl 0.000 0.586 0.865
Cl3 Cl 0.000 0.915 0.367
O3 O 0.255 0.613 0.421
Pb3 Pb 0.000 0.580 0.583
Cl4 Cl 0.000 0.308 0.309
Pb4 Pb 0.500 0.082 0.919
Br1 Br 0.500 0.431 0.132
Pb5 Pb 0.500 0.363 0.719
O4 O 0.245 0.386 0.580
Pb6 Pb 0.000 0.917 0.081
O5 O 0.755 0.111 0.081
Pb7 Pb 0.500 0.704 0.936
Pb8 Pb 0.000 0.294 0.060
Pb9 Pb 0.500 0.796 0.441
Cl5 Cl 0.500 0.084 0.634
O6 O 0.245 0.111 0.081
O7 O 0.755 0.386 0.580
O8 O 0.255 0.888 0.919
Pb10 Pb 0.500 0.418 0.418
Cl6 Cl 0.000 0.191 0.808
Cl7 Cl 0.500 0.691 0.690
Pb11 Pb 0.500 0.128 0.221
Pb12 Pb 0.000 0.866 0.780


# 14
# SCAN CeMg3, PBEsol geometry
# - Energy of formation from the pure elements: -0.036 eV per atom
data_CeMg3
_chemical_formula_sum 'Ce1 Mg3'
_space_group_name_H-M_alt 'P 1'
_space_group_IT_number 1
_space_group_name_Hall 'P 1'
_cell_length_a 5.158
_cell_length_b 5.158
_cell_length_c 5.158
_cell_angle_alpha 60.00
_cell_angle_beta 60.00
_cell_angle_gamma 60.00
loop_
_atom_site_label
_atom_site_type_symbol
_atom_site_fract_x
_atom_site_fract_y
_atom_site_fract_z
Ce1 Ce 0.000 0.000 0.000
Mg1 Mg 0.500 0.500 0.500
Mg2 Mg 0.750 0.750 0.750
Mg3 Mg 0.250 0.250 0.250


# 15
# SCAN BeFeSb, PBEsol geometry
# - Raw formation energy: 0.2020 eV per atom
data_BeFeSb
_chemical_formula_sum 'Be1 Fe1 Sb1'
_space_group_name_H-M_alt 'P 1'
_space_group_IT_number 1
_space_group_name_Hall 'P 1'
_cell_length_a 3.191
_cell_length_b 3.187
_cell_length_c 4.457
_cell_angle_alpha 110.95
_cell_angle_beta 110.97
_cell_angle_gamma 90.00
loop_
_atom_site_label
_atom_site_type_symbol
_atom_site_fract_x
_atom_site_fract_y
_atom_site_fract_z
Be1 Be 0.012 0.012 0.023
Sb1 Sb 0.330 0.330 0.660
Fe1 Fe 0.658 0.658 0.316


# 16
# SCAN Sn5P6O25, PBEsol geometry
# - Raw formation energy: -2.1359 eV per atom
data_Sn5P6O25
_chemical_formula_sum 'Sn5 P6 O25'
_space_group_name_H-M_alt 'P 1'
_space_group_IT_number 1
_space_group_name_Hall 'P 1'
_cell_length_a 8.399
_cell_length_b 8.399
_cell_length_c 10.058
_cell_angle_alpha 65.32
_cell_angle_beta 65.32
_cell_angle_gamma 60.00
loop_
_atom_site_label
_atom_site_type_symbol
_atom_site_fract_x
_atom_site_fract_y
_atom_site_fract_z
P1 P 0.617 0.937 0.269
O1 O 0.728 0.044 0.130
O2 O 0.217 0.899 0.615
O3 O 0.087 0.133 0.341
O4 O 0.400 0.561 0.209
O5 O 0.133 0.439 0.341
O6 O 0.272 0.956 0.870
O7 O 0.913 0.867 0.659
Sn1 Sn 0.000 0.000 0.000
O8 O 0.867 0.561 0.659
P2 P 0.823 0.383 0.731
O9 O 0.439 0.087 0.341
O10 O 0.561 0.913 0.659
O11 O 0.899 0.269 0.615
O12 O 0.561 0.831 0.209
Sn2 Sn 0.571 0.571 0.286
O13 O 0.901 0.272 0.870
P3 P 0.383 0.063 0.731
P4 P 0.177 0.617 0.269
O14 O 0.269 0.217 0.615
O15 O 0.731 0.783 0.385
O16 O 0.500 0.500 0.500
Sn3 Sn 0.429 0.429 0.714
O17 O 0.831 0.400 0.209
O18 O 0.439 0.169 0.791
P5 P 0.063 0.823 0.731
O19 O 0.169 0.600 0.791
O20 O 0.099 0.728 0.130
O21 O 0.101 0.731 0.385
P6 P 0.937 0.177 0.269
Sn4 Sn 0.174 0.174 0.479
O22 O 0.783 0.101 0.385
O23 O 0.044 0.099 0.130
O24 O 0.956 0.901 0.870
O25 O 0.600 0.439 0.791
Sn5 Sn 0.826 0.826 0.521


# 17
# SCAN MgBeCo2, PBEsol geometry
# - Energy of formation from the pure elements: 0.503 eV per atom
# - Offset from the most stable computed form: 340 meV per atom
data_MgBeCo2
_chemical_formula_sum 'Mg2 Be2 Co4'
_space_group_name_H-M_alt 'P 1'
_space_group_IT_number 1
_space_group_name_Hall 'P 1'
_cell_length_a 3.595
_cell_length_b 3.595
_cell_length_c 8.451
_cell_angle_alpha 102.28
_cell_angle_beta 102.28
_cell_angle_gamma 90.00
loop_
_atom_site_label
_atom_site_type_symbol
_atom_site_fract_x
_atom_site_fract_y
_atom_site_fract_z
Co1 Co 0.125 0.212 0.750
Be1 Be 0.500 0.500 0.000
Mg1 Mg 0.000 0.000 0.000
Co2 Co 0.462 0.875 0.250
Mg2 Mg 0.250 0.750 0.500
Be2 Be 0.750 0.250 0.500
Co3 Co 0.788 0.375 0.250
Co4 Co 0.625 0.538 0.750


# 18
# SCAN RbNb2CrPb, PBEsol geometry
# - Energy of formation from the pure elements: 2.529 eV per atom
data_RbNb2CrPb
_chemical_formula_sum 'Rb1 Nb2 Cr1 Pb1'
_space_group_name_H-M_alt 'P 1'
_space_group_IT_number 1
_space_group_name_Hall 'P 1'
_cell_length_a 4.510
_cell_length_b 4.880
_cell_length_c 4.880
_cell_angle_alpha 90.00
_cell_angle_beta 90.00
_cell_angle_gamma 90.00
loop_
_atom_site_label
_atom_site_type_symbol
_atom_site_fract_x
_atom_site_fract_y
_atom_site_fract_z
Nb1 Nb 0.000 0.500 0.000
Nb2 Nb 0.000 0.000 0.500
Pb1 Pb 0.500 0.500 0.500
Rb1 Rb 0.000 0.000 0.000
Cr1 Cr 0.500 0.000 0.000


# 19
# SCAN BaSb3, PBEsol geometry
# - Raw formation energy: -0.3273 eV per atom
data_BaSb3
_chemical_formula_sum 'Ba1 Sb3'
_space_group_name_H-M_alt 'P 1'
_space_group_IT_number 1
_space_group_name_Hall 'P 1'
_cell_length_a 3.954
_cell_length_b 4.584
_cell_length_c 6.759
_cell_angle_alpha 90.00
_cell_angle_beta 90.00
_cell_angle_gamma 90.00
loop_
_atom_site_label
_atom_site_type_symbol
_atom_site_fract_x
_atom_site_fract_y
_atom_site_fract_z
Sb1 Sb 0.500 0.500 0.711
Ba1 Ba 0.000 0.000 0.000
Sb2 Sb 0.500 0.500 0.289
Sb3 Sb 0.000 0.000 0.500


# 20
# SCAN NiMo2Rh, PBEsol geometry
# - Energy of formation from the pure elements: -0.056 eV per atom
# - Offset from the most stable computed form: 24 meV per atom
data_NiMo2Rh
_chemical_formula_sum 'Ni1 Mo2 Rh1'
_space_group_name_H-M_alt 'P 1'
_space_group_IT_number 1
_space_group_name_Hall 'P 1'
_cell_length_a 2.668
_cell_length_b 4.667
_cell_length_c 4.667
_cell_angle_alpha 111.18
_cell_angle_beta 90.00
_cell_angle_gamma 90.00
loop_
_atom_site_label
_atom_site_type_symbol
_atom_site_fract_x
_atom_site_fract_y
_atom_site_fract_z
Rh1 Rh 0.500 0.000 0.000
Mo1 Mo 0.000 0.000 0.500
Mo2 Mo 0.000 0.500 0.000
Ni1 Ni 0.500 0.500 0.500